No. 1
Below is a relaxed LaTlTc2 crystal, with properties calculated at the PBE level.

Results
As for the spin magnetization: 0.0 μB/f.u. The density of states at the Fermi level comes out at 6.9 states/eV per cell. As for the energy above the most stable polymorph in this dataset: 559 meV per atom.

a b c (Å): 3.2955 5.3723 8.9364
angles (deg): 90.00 90.00 90.00
Space group Cmmm (No. 65)
Inequivalent atoms, fractional coordinates:
La  0.0000  0.0000  0.0000 [2 per cell]
Tl  0.0000  0.0000  0.5000 [2 per cell]
Tc  0.0000  0.5000  0.2445 [4 per cell]


No. 2
Below is a relaxed PIr2 crystal, with properties calculated at the PBE level.

Results
As for the spin magnetization: 0.0 μB/f.u. As for the uncorrected energy: -7.91 eV per atom. The density of states at the Fermi level comes out at 4.4 states/eV per cell.

a b c (Å): 3.7299 6.4162 3.7368
angles (deg): 90.00 90.00 90.00
Space group Pnnm (No. 58)
Inequivalent atoms, fractional coordinates:
P  0.0000  0.0000  0.0000 [2 per cell]
Ir  0.2504  0.1670  0.5000 [4 per cell]


No. 3
Below is a relaxed SiSb2Se crystal, with properties calculated at the PBE level.

Results
As for the spin magnetization: 0.0 μB/f.u. The density of states at the Fermi level comes out at 1.6 states/eV per cell. As for the energy above the most stable polymorph in this dataset: 36 meV per atom.

a b c (Å): 5.2591 4.0108 5.2780
angles (deg): 90.00 112.22 90.00
Space group Pm (No. 6)
Inequivalent atoms, fractional coordinates:
Si  0.0000  0.0000  0.0000 [1 per cell]
Sb  0.2626  0.5000  0.7372 [1 per cell]
Sb  0.5047  0.0000  0.4958 [1 per cell]
Se  0.8154  0.5000  0.1835 [1 per cell]


No. 4
Below is a relaxed TaHg2As crystal, with properties calculated at the PBE level.

Results
As for the spin magnetization: 0.0 μB/f.u. As for the uncorrected energy: -3.82 eV per atom. The density of states at the Fermi level comes out at 2.9 states/eV per cell.

a b c (Å): 3.3903 4.5389 5.1976
angles (deg): 90.00 90.00 90.00
Space group Pmmm (No. 47)
Inequivalent atoms, fractional coordinates:
Ta  0.0000  0.0000  0.0000 [1 per cell]
Hg  0.0000  0.5000  0.5000 [1 per cell]
Hg  0.5000  0.0000  0.5000 [1 per cell]
As  0.5000  0.5000  0.0000 [1 per cell]


No. 5
Below is a relaxed Ba2Mg4Tl3In crystal, with properties calculated at the PBE level.

Results
As for the spin magnetization: 0.0 μB/f.u. As for the uncorrected energy: -2.26 eV per atom. The density of states at the Fermi level comes out at 6.0 states/eV per cell.

a b c (Å): 4.9769 4.9769 12.3547
angles (deg): 90.00 90.00 90.00
Space group P-4m2 (No. 115)
Inequivalent atoms, fractional coordinates:
Ba  0.0000  0.5000  0.2498 [2 per cell]
Mg  0.0000  0.0000  0.0000 [1 per cell]
Mg  0.0000  0.5000  0.6345 [2 per cell]
Mg  0.5000  0.5000  0.0000 [1 per cell]
Tl  0.0000  0.5000  0.8682 [2 per cell]
Tl  0.5000  0.5000  0.5000 [1 per cell]
In  0.0000  0.0000  0.5000 [1 per cell]


No. 6
Below is a relaxed PrEr2Ag crystal, with properties calculated at the PBE level.

Results
As for the spin magnetization: 0.0 μB/f.u. The density of states at the Fermi level comes out at 6.0 states/eV per cell. As for the energy above the most stable polymorph in this dataset: 159 meV per atom.

a b c (Å): 4.7981 4.7981 4.8751
angles (deg): 90.00 90.00 90.00
Space group P4/mmm (No. 123)
Inequivalent atoms, fractional coordinates:
Pr  0.0000  0.0000  0.0000 [1 per cell]
Er  0.0000  0.5000  0.5000 [2 per cell]
Ag  0.5000  0.5000  0.0000 [1 per cell]


What is the spin magnetization in the first record? 0.0 μB/f.u.


Look up the spin magnetization of the second one. 0.0 μB/f.u.


Which value of spin magnetization does entry 1 give? 0.0 μB/f.u.